No. 1
DFT (PBE) results for Ba2YTl2O6 after structural relaxation.

Summary:
- Final energy: -194.176 eV per cell
- Calculated volume: 671.8 Å³ per cell

Geometry as CIF:
```
data_Ba2YTl2O6
_cell_length_a 6.5171
_cell_length_b 6.5171
_cell_length_c 18.2643
_cell_angle_alpha 90.00
_cell_angle_beta 90.00
_cell_angle_gamma 120.00
_symmetry_space_group_name_H-M 'R -3 m'
_symmetry_Int_Tables_number 166
_symmetry_space_group_name_Hall '-R 3 2"'
loop_
_atom_site_label
_atom_site_type_symbol
_atom_site_fract_x
_atom_site_fract_y
_atom_site_fract_z
Ba1 Ba 0.0000 0.0000 0.1995
Y1 Y 0.0000 0.0000 0.0000
Tl1 Tl 0.0000 0.0000 0.3992
O1 O 0.0399 0.5200 0.7538
```

---

No. 2
DFT (PBE) results for Ba2YTlO after structural relaxation.

Summary:
- Final energy: -23.539 eV per cell
- Calculated volume: 160.5 Å³ per cell

Geometry as CIF:
```
data_Ba2YTlO
_cell_length_a 5.999
_cell_length_b 5.999
_cell_length_c 4.460
_cell_angle_alpha 90.00
_cell_angle_beta 90.00
_cell_angle_gamma 90.00
_symmetry_space_group_name_H-M 'P 4/m m m'
_symmetry_Int_Tables_number 123
_symmetry_space_group_name_Hall '-P 4 2'
loop_
_atom_site_label
_atom_site_type_symbol
_atom_site_fract_x
_atom_site_fract_y
_atom_site_fract_z
Ba1 Ba 0.000 0.500 0.000
Y1 Y 0.000 0.000 0.500
Tl1 Tl 0.500 0.500 0.500
O1 O 0.000 0.000 0.000
```

---

No. 3
DFT (PBE) results for BaY4Tl3O12 after structural relaxation.

Summary:
- Final energy: -277.290 eV per cell
- Calculated volume: 621.9 Å³ per cell

Geometry as CIF:
```
data_BaY4Tl3O12
_cell_length_a 8.536
_cell_length_b 8.536
_cell_length_c 8.536
_cell_angle_alpha 90.00
_cell_angle_beta 90.00
_cell_angle_gamma 90.00
_symmetry_space_group_name_H-M 'I m -3'
_symmetry_Int_Tables_number 204
_symmetry_space_group_name_Hall '-I 2 2 3'
loop_
_atom_site_label
_atom_site_type_symbol
_atom_site_fract_x
_atom_site_fract_y
_atom_site_fract_z
Ba1 Ba 0.000 0.000 0.000
Y1 Y 0.250 0.250 0.250
Tl1 Tl 0.000 0.000 0.500
O1 O 0.000 0.173 0.308
```

---

No. 4
DFT (PBE) results for Ba2YTlO5 after structural relaxation.

Summary:
- Final energy: -232.641 eV per cell
- Calculated volume: 634.2 Å³ per cell

Geometry as CIF:
```
data_Ba2YTlO5
_cell_length_a 3.632
_cell_length_b 14.997
_cell_length_c 11.645
_cell_angle_alpha 90.00
_cell_angle_beta 90.00
_cell_angle_gamma 90.00
_symmetry_space_group_name_H-M 'C m c 21'
_symmetry_Int_Tables_number 36
loop_
_symmetry_equiv_pos_as_xyz
'x,y,z'
'-x,-y,z+1/2'
'-x,y,z'
'x,-y,z+1/2'
'x+1/2,y+1/2,z'
'-x+1/2,-y+1/2,z+1/2'
'-x+1/2,y+1/2,z'
'x+1/2,-y+1/2,z+1/2'
loop_
_atom_site_label
_atom_site_type_symbol
_atom_site_fract_x
_atom_site_fract_y
_atom_site_fract_z
Ba1 Ba 0.000 0.110 0.000
Ba2 Ba 0.000 0.140 0.597
Y1 Y 0.000 0.218 0.317
Tl1 Tl 0.000 0.478 0.770
O1 O 0.000 0.061 0.364
O2 O 0.000 0.280 0.945
O3 O 0.000 0.310 0.693
O4 O 0.000 0.367 0.307
O5 O 0.000 0.494 0.089
```